Material: Pr4NdDy2Th
Method: DFT, PBE-GGA
State: relaxed

Cell lengths 5.1546, 5.1631, 10.3568 Å; angles 90.00, 90.00, 90.00 degrees
Positions (direct):
1 Pr 0.0000 0.0000 0.2452
2 Pr 0.0000 0.0000 0.7548
3 Pr 0.5000 0.5000 0.2463
4 Pr 0.5000 0.5000 0.7537
5 Nd 0.5000 0.0000 0.5000
6 Dy 0.0000 0.5000 0.5000
7 Dy 0.5000 0.0000 0.0000
8 Th 0.0000 0.5000 0.0000

## Properties
**Crystal system**: orthorhombic
**Formation energy from the elements**: 0.24 eV per formula unit